Entry 1:
Er2Cu5Ge4 | GGA-PBE | optimized geometry

It has space group Fmmm (No. 69), with a = 5.493 Å, b = 9.318 Å, c = 14.566 Å, α = 90.00°, β = 90.00° and γ = 90.00°. The distinct sites, in fractional coordinates, are Er at (0.000, 0.000, 0.144), Cu at (0.000, 0.000, 0.500), Cu at (0.250, 0.250, 0.000), Cu at (0.250, 0.250, 0.250) and Ge at (0.000, 0.143, 0.364).

The total moment comes out at 0.00 μB per cell. For the calculated total energy, the calculation gives -4.623 eV per atom. The energy relative to the elements is -0.2520 eV per atom.



Entry 2:
Th2ZnSi4Pt3 | GGA-PBE | optimized geometry

It has space group P-4m2 (No. 115), with a = 4.268 Å, b = 4.268 Å, c = 9.937 Å, α = 90.00°, β = 90.00° and γ = 90.00°. The distinct sites, in fractional coordinates, are Th at (0.000, 0.500, 0.248), Zn at (0.000, 0.000, 0.500), Si at (0.000, 0.000, 0.000), Si at (0.000, 0.500, 0.636), Si at (0.500, 0.500, 0.000), Pt at (0.000, 0.500, 0.881) and Pt at (0.500, 0.500, 0.500).

The total moment comes out at 0.00 μB per cell. For the calculated total energy, the calculation gives -6.594 eV per atom. For the uncorrected formation energy, the calculation gives -1001 meV/atom.



Entry 3:
Na2GaRu | GGA-PBE | optimized geometry

It has space group I-42d (No. 122), with a = 8.055 Å, b = 8.055 Å, c = 5.031 Å, α = 90.00°, β = 90.00° and γ = 90.00°. The distinct sites, in fractional coordinates, are Na at (0.248, 0.250, 0.125), Ga at (0.000, 0.000, 0.500) and Ru at (0.000, 0.000, 0.000).

The total moment comes out at 1.95 μB per cell. For the calculated total energy, the calculation gives -3.127 eV per atom. The energy relative to the elements is 0.6085 eV per atom.



Entry 4:
GeBi2HIr | GGA-PBE | optimized geometry

It has space group P4/mmm (No. 123), with a = 5.539 Å, b = 5.539 Å, c = 4.594 Å, α = 90.00°, β = 90.00° and γ = 90.00°. The distinct sites, in fractional coordinates, are Ge at (0.000, 0.000, 0.000), Bi at (0.000, 0.500, 0.000), H at (0.500, 0.500, 0.500) and Ir at (0.000, 0.000, 0.500).

The total moment comes out at 0.82 μB per cell. For the calculated total energy, the calculation gives -3.735 eV per atom.



no.,density of states at the Fermi level (states/eV/f.u.)
1,4.00
2,2.60
3,2.82
4,2.87